No. 1
VASP calculation (PBE) on a relaxed DyScIr crystal.

## Properties
Fermi-level density of states (states/eV/cell): 10.7
Energy above the most stable polymorph in this dataset (meV/atom): 0.0
Electronic total energy (eV per formula unit): -22.12
Energy relative to the elements (eV per atom): -0.7751
Symmetry: No. 5

abc: 7.146 7.146 4.447
angles: 90.08 90.08 59.93
Element x y z (fractional)
Dy (0.000, 0.000, 0.000)
Dy (0.414, 0.173, 0.000)
Dy (0.827, 0.586, 0.000)
Sc (0.160, 0.587, 0.500)
Sc (0.413, 0.840, 0.500)
Sc (0.667, 0.333, 0.500)
Ir (0.080, 0.253, 0.500)
Ir (0.414, 0.586, 0.000)
Ir (0.747, 0.920, 0.500)

---

No. 2
VASP calculation (PBE) on a relaxed DySc2Ir crystal.

## Properties
Fermi-level density of states (states/eV/cell): 4.3
Energy above the most stable polymorph in this dataset (meV/atom): 294.8
Electronic total energy (eV per formula unit): -27.32
Energy relative to the elements (eV per atom): -0.2978
Symmetry: No. 166

abc: 5.405 5.405 5.405
angles: 50.80 50.80 50.80
Element x y z (fractional)
Dy (0.000, 0.000, 0.000)
Sc (0.224, 0.224, 0.224)
Sc (0.776, 0.776, 0.776)
Ir (0.500, 0.500, 0.500)

---

No. 3
VASP calculation (PBE) on a relaxed Dy3Sc7Ir4 crystal.

## Properties
Fermi-level density of states (states/eV/cell): 17.1
Electronic total energy (eV per formula unit): -102.12
Energy relative to the elements (eV per atom): -0.6108
Symmetry: No. 12

abc: 8.472 8.472 10.620
angles: 125.10 125.10 30.44
Element x y z (fractional)
Dy (0.000, 0.000, 0.000)
Dy (0.305, 0.305, 0.298)
Dy (0.695, 0.695, 0.702)
Sc (0.000, 0.000, 0.500)
Sc (0.166, 0.166, 0.417)
Sc (0.308, 0.308, 0.972)
Sc (0.489, 0.489, 0.712)
Sc (0.511, 0.511, 0.288)
Sc (0.692, 0.692, 0.028)
Sc (0.834, 0.834, 0.583)
Ir (0.102, 0.102, 0.839)
Ir (0.321, 0.321, 0.720)
Ir (0.679, 0.679, 0.280)
Ir (0.898, 0.898, 0.161)